No. 1
DyGa5CuNi2: optimized geometry, PBE.

Structure (POSCAR):
```
DyGa5CuNi2
1.0
-1.472 3.082 2.420
-2.845 0.937 -2.924
-6.094 -6.045 3.993
Dy Ga Cu Ni
1 5 1 2
direct
0.000 0.000 0.500
0.000 0.500 0.156
0.500 0.000 0.156
0.000 0.500 0.844
0.500 0.000 0.844
0.500 0.500 0.500
0.000 0.000 0.000
0.500 0.500 0.269
0.500 0.500 0.731
```

Its density of states at the Fermi level is 3.91 states/eV/f.u. The value obtained for the formation energy is -0.16 eV per atom. Its mass density is 6.927 g/cm3.

=====

No. 2
Cs6NdSe4: optimized geometry, PBE.

Structure (POSCAR):
```
Cs6NdSe4
1.0
8.838 0.000 0.000
0.000 10.230 -5.906
0.000 0.000 11.813
Cs Nd Se
12 2 8
direct
0.456 0.735 0.868
0.456 0.132 0.265
0.456 0.132 0.868
0.956 0.265 0.132
0.956 0.868 0.735
0.956 0.868 0.132
0.642 0.934 0.467
0.642 0.533 0.066
0.642 0.533 0.467
0.142 0.066 0.533
0.142 0.467 0.934
0.142 0.467 0.533
0.739 0.333 0.667
0.239 0.667 0.333
0.419 0.333 0.667
0.919 0.667 0.333
0.847 0.594 0.797
0.847 0.203 0.406
0.847 0.203 0.797
0.347 0.406 0.203
0.347 0.797 0.594
0.347 0.797 0.203
```

Its density of states at the Fermi level is 1.55 states/eV/f.u. The value obtained for the formation energy without anion corrections is -1.21 eV/atom. Its mass density is 3.910 g/cm3.

=====

No. 3
Ca5La: optimized geometry, PBE.

Structure (POSCAR):
```
Ca5La
1.0
3.836 0.000 0.000
-1.918 3.322 0.000
0.000 0.000 19.365
Ca La
5 1
direct
0.667 0.333 0.837
0.000 0.000 0.668
0.667 0.333 0.500
0.000 0.000 0.332
0.667 0.333 0.163
0.000 0.000 0.000
```

Its density of states at the Fermi level is 9.37 states/eV/f.u. The value obtained for the formation energy is 0.03 eV per atom. The distance to the lowest polymorph of the same formula comes out at 0.0 meV/atom. Its mass density is 2.284 g/cm3.

=====

No. 4
SmCd2Ag: optimized geometry, PBE.

Structure (POSCAR):
```
SmCd2Ag
1.0
-2.107 -1.599 2.264
1.981 -2.858 -0.176
4.277 2.606 5.820
Ag Sm Cd
1 1 2
direct
0.500 0.500 0.000
0.500 0.500 0.500
0.000 0.000 0.787
0.000 0.000 0.213
```

Its density of states at the Fermi level is 2.83 states/eV/f.u. The value obtained for the formation energy is -0.19 eV per atom. Its mass density is 8.616 g/cm3.

=====

No. 5
CuGe3As: optimized geometry, PBE.

Structure (POSCAR):
```
CuGe3As
1.0
-4.531 -1.515 -1.496
1.547 -4.759 0.132
-1.462 -0.343 4.776
As Ge Cu
1 3 1
direct
0.000 0.000 0.000
0.000 0.500 0.000
0.000 0.000 0.500
0.500 0.000 0.000
0.500 0.500 0.500
```

Its density of states at the Fermi level is 3.29 states/eV/f.u. The value obtained for the formation energy is 0.98 eV per atom. The distance to the lowest polymorph of the same formula comes out at 490.5 meV/atom. Its mass density is 4.717 g/cm3.

=====

No. 6
TaCd2InNi: optimized geometry, PBE.

Structure (POSCAR):
```
TaCd2InNi
1.0
-5.535 0.403 0.302
-0.348 -1.597 -4.246
-0.270 -5.189 1.974
Cd In Ni Ta
2 1 1 1
direct
0.000 0.000 0.500
0.500 0.000 0.000
0.500 0.500 0.500
0.000 0.500 0.000
0.000 0.000 0.000
```

Its density of states at the Fermi level is 6.32 states/eV/f.u. The value obtained for the formation energy is 1.05 eV per atom. Its mass density is 6.843 g/cm3.

=====

No. 7
CaMg6Zr: optimized geometry, PBE.

Structure (POSCAR):
```
CaMg6Zr
1.0
-0.390 6.256 -1.747
0.785 -1.692 -6.234
-4.562 -0.414 -0.462
Ca Mg Zr
1 6 1
direct
0.500 0.500 0.500
0.500 0.000 0.500
0.000 0.500 0.500
0.237 0.763 0.000
0.763 0.237 0.000
0.237 0.237 0.000
0.763 0.763 0.000
0.000 0.000 0.500
```

Its density of states at the Fermi level is 6.75 states/eV/f.u. The value obtained for the formation energy is 0.01 eV per atom. The distance to the lowest polymorph of the same formula comes out at 0.0 meV/atom. Its mass density is 2.361 g/cm3.

=====

No. 8
Tl2FeCu3Te4: optimized geometry, PBE.

Structure (POSCAR):
```
Tl2FeCu3Te4
1.0
8.175 -0.041 0.000
-6.070 5.477 0.000
0.000 0.000 5.785
Tl Fe Cu Te
2 1 3 4
direct
0.500 0.000 0.247
0.000 0.500 0.753
0.000 0.000 0.000
0.500 0.500 0.500
0.500 0.500 0.000
0.000 0.000 0.500
0.356 0.138 0.753
0.862 0.644 0.247
0.138 0.356 0.247
0.644 0.862 0.753
```

Its density of states at the Fermi level is 5.42 states/eV/f.u. The distance to the lowest polymorph of the same formula comes out at 0.0 meV/atom. The value obtained for the formation energy without anion corrections is -0.12 eV/atom. Its mass density is 7.514 g/cm3.

=====

No. 9
Cd3Pt2: optimized geometry, PBE.

Structure (POSCAR):
```
Cd3Pt2
1.0
5.544 0.003 0.000
-2.872 4.742 0.000
1.336 2.373 7.008
Cd Pt
6 4
direct
0.639 0.727 0.795
0.523 0.434 0.205
0.184 0.773 0.705
0.477 0.889 0.295
0.077 0.077 0.000
0.827 0.327 0.500
0.656 0.200 0.905
0.105 0.561 0.095
0.311 0.355 0.595
0.950 0.906 0.405
```

Its density of states at the Fermi level is 1.87 states/eV/f.u. The value obtained for the formation energy is -0.22 eV per atom. The distance to the lowest polymorph of the same formula comes out at 78.9 meV/atom. Its mass density is 13.106 g/cm3.

=====

No. 10
TiB6: optimized geometry, PBE.

Structure (POSCAR):
```
TiB6
1.0
-2.417 -2.891 -1.888
-0.765 -0.019 4.145
-0.878 3.810 -1.573
Ti B
1 6
direct
0.000 0.000 0.000
0.250 0.750 0.500
0.500 0.750 0.250
0.250 0.500 0.750
0.750 0.250 0.500
0.500 0.250 0.750
0.750 0.500 0.250
```

Its density of states at the Fermi level is 2.06 states/eV/f.u. The value obtained for the formation energy is 0.35 eV per atom. Its mass density is 3.248 g/cm3.

=====

No. 11
Ac2SmHg: optimized geometry, PBE.

Structure (POSCAR):
```
Ac2SmHg
1.0
-0.366 -0.225 -3.923
-1.260 -3.343 -1.676
-11.141 2.412 -1.083
Ac Sm Hg
2 1 1
direct
0.077 0.077 0.770
0.257 0.257 0.229
0.499 0.499 0.502
0.667 0.667 0.999
```

Its density of states at the Fermi level is 5.00 states/eV/f.u. The value obtained for the formation energy is -0.12 eV per atom. The distance to the lowest polymorph of the same formula comes out at 91.2 meV/atom. Its mass density is 8.832 g/cm3.

=====

No. 12
HgW5: optimized geometry, PBE.

Structure (POSCAR):
```
HgW5
1.0
2.495 -4.321 0.000
2.495 4.321 0.000
0.000 0.000 4.672
Hg W
1 5
direct
0.000 0.000 0.000
0.667 0.333 0.000
0.333 0.667 0.000
0.345 0.000 0.500
0.000 0.345 0.500
0.655 0.655 0.500
```

Its density of states at the Fermi level is 6.53 states/eV/f.u. The value obtained for the formation energy is 0.63 eV per atom. The distance to the lowest polymorph of the same formula comes out at 41.9 meV/atom. Its mass density is 18.464 g/cm3.

=====

No. 13
NaMoH3: optimized geometry, PBE.

Structure (POSCAR):
```
NaMoH3
1.0
-0.092 3.308 1.669
-3.343 -0.794 1.390
1.598 -1.471 3.003
Na Mo H
1 1 3
direct
0.500 0.500 0.500
0.000 0.000 0.000
0.000 0.500 0.000
0.000 0.000 0.500
0.500 0.000 0.000
```

Its density of states at the Fermi level is 1.28 states/eV/f.u. The distance to the lowest polymorph of the same formula comes out at 92.5 meV/atom. Its mass density is 3.977 g/cm3.

=====

No. 14
Ca2POs: optimized geometry, PBE.

Structure (POSCAR):
```
Ca2POs
1.0
2.262 -5.089 0.000
2.262 5.089 0.000
0.000 0.000 4.046
Ca P Os
2 1 1
direct
0.894 0.106 0.000
0.603 0.397 0.500
0.301 0.699 0.500
0.200 0.800 0.000
```

Its density of states at the Fermi level is 3.60 states/eV/f.u. The value obtained for the formation energy is -0.41 eV per atom. Its mass density is 5.373 g/cm3.

=====

No. 15
Pm2TmPb: optimized geometry, PBE.

Structure (POSCAR):
```
Pm2TmPb
1.0
4.972 0.000 0.000
0.000 4.883 0.000
0.000 0.000 4.883
Pb Tm Pm
1 1 2
direct
0.500 0.000 0.000
0.500 0.500 0.500
0.000 0.000 0.500
0.000 0.500 0.000
```

Its density of states at the Fermi level is 4.38 states/eV/f.u. The value obtained for the formation energy is -0.30 eV per atom. The distance to the lowest polymorph of the same formula comes out at 0.0 meV/atom. Its mass density is 9.329 g/cm3.

=====

No. 16
InCoIr2: optimized geometry, PBE.

Structure (POSCAR):
```
InCoIr2
1.0
-2.937 -0.490 -3.677
-0.490 -1.725 -4.378
-1.905 -4.313 0.949
Co In Ir
1 1 2
direct
0.750 0.750 0.750
0.250 0.250 0.250
0.008 0.008 0.979
0.492 0.492 0.521
```

Its density of states at the Fermi level is 4.47 states/eV/f.u. The value obtained for the formation energy is 0.10 eV per atom. Its mass density is 15.381 g/cm3.

=====

No. 17
Tb8Pr2Dy3: optimized geometry, PBE.

Structure (POSCAR):
```
Tb8Pr2Dy3
1.0
4.956 0.000 0.644
0.135 7.756 -1.036
-1.564 -5.061 12.032
Tb Pr Dy
8 2 3
direct
0.000 0.785 0.351
0.000 0.215 0.649
0.000 0.080 0.215
0.000 0.920 0.785
0.500 0.575 0.731
0.500 0.276 0.855
0.500 0.724 0.145
0.500 0.425 0.269
0.500 0.156 0.434
0.500 0.844 0.566
0.500 0.000 0.000
0.000 0.355 0.068
0.000 0.645 0.932
```

Its density of states at the Fermi level is 17.47 states/eV/f.u. The value obtained for the formation energy is 0.14 eV per atom. The distance to the lowest polymorph of the same formula comes out at 0.0 meV/atom. Its mass density is 7.635 g/cm3.

=====

No. 18
Mn2CrGe: optimized geometry, PBE.

Structure (POSCAR):
```
Mn2CrGe
1.0
-2.650 -0.464 -1.033
0.485 -2.840 0.029
-1.989 -0.286 5.229
Cr Ge Mn
1 1 2
direct
0.500 0.500 0.000
0.500 0.500 0.500
0.000 0.000 0.757
0.000 0.000 0.243
```

Its density of states at the Fermi level is 3.06 states/eV/f.u. The value obtained for the formation energy is 0.00 eV per atom. Its mass density is 8.373 g/cm3.

=====

No. 19
CsLiHf2: optimized geometry, PBE.

Structure (POSCAR):
```
CsLiHf2
1.0
-1.099 -3.981 0.823
4.063 -1.048 0.354
1.091 0.146 12.940
Cs Hf Li
2 4 2
direct
0.000 0.000 0.000
0.750 0.250 0.500
0.136 0.125 0.250
0.614 0.625 0.250
0.375 0.864 0.750
0.875 0.386 0.750
0.500 0.500 0.000
0.250 0.750 0.500
```

Its density of states at the Fermi level is 5.26 states/eV/f.u. The value obtained for the formation energy is 1.13 eV per atom. The distance to the lowest polymorph of the same formula comes out at 0.0 meV/atom. Its mass density is 7.362 g/cm3.

=====

No. 20
SbMoP2: optimized geometry, PBE.

Structure (POSCAR):
```
SbMoP2
1.0
-2.206 -0.616 1.826
0.920 -2.449 -1.318
6.015 -1.397 6.794
Mo P Sb
1 2 1
direct
0.500 0.500 0.779
0.000 0.000 0.964
0.500 0.500 0.244
0.000 0.000 0.512
```

Its density of states at the Fermi level is 2.42 states/eV/f.u. The value obtained for the formation energy without anion corrections is 0.56 eV/atom. Its mass density is 6.271 g/cm3.

=====

No. 21
Te2IrPt: optimized geometry, PBE.

Structure (POSCAR):
```
Te2IrPt
1.0
-3.079 2.157 6.743
-2.113 -0.601 -4.423
-2.065 -2.122 1.272
Ir Pt Te
1 1 2
direct
0.000 0.500 0.500
0.500 0.500 0.000
0.000 0.000 0.000
0.500 0.000 0.500
```

Its density of states at the Fermi level is 2.16 states/eV/f.u. The distance to the lowest polymorph of the same formula comes out at 458.9 meV/atom. The value obtained for the formation energy without anion corrections is 0.33 eV/atom. Its mass density is 13.573 g/cm3.

=====

No. 22
RbSrZn2H6: optimized geometry, PBE.

Structure (POSCAR):
```
RbSrZn2H6
1.0
6.949 -0.578 0.156
-1.424 6.826 0.156
-1.437 -1.625 6.251
Rb Sr Zn H
2 2 4 12
direct
0.197 0.803 0.250
0.803 0.197 0.750
0.599 0.401 0.250
0.401 0.599 0.750
0.255 0.093 0.783
0.907 0.745 0.717
0.745 0.907 0.217
0.093 0.255 0.283
0.937 0.391 0.212
0.609 0.063 0.288
0.063 0.609 0.788
0.391 0.937 0.712
0.186 0.147 0.063
0.853 0.814 0.437
0.814 0.853 0.937
0.147 0.186 0.563
0.314 0.469 0.377
0.531 0.686 0.123
0.686 0.531 0.623
0.469 0.314 0.877
```

Its density of states at the Fermi level is 0.95 states/eV/f.u. The value obtained for the final energy is -26.7 eV/f.u. Its mass density is 3.488 g/cm3.

=====

No. 23
Hf2V2Pd: optimized geometry, PBE.

Structure (POSCAR):
```
Hf2V2Pd
1.0
-6.088 0.250 -2.600
2.164 -3.212 -5.375
-0.889 -3.516 1.743
Hf Pd V
4 2 4
direct
0.173 0.673 0.500
0.673 0.827 0.500
0.827 0.327 0.500
0.327 0.173 0.500
0.000 0.000 0.000
0.500 0.500 0.000
0.375 0.875 0.000
0.875 0.625 0.000
0.625 0.125 0.000
0.125 0.375 0.000
```

Its density of states at the Fermi level is 6.29 states/eV/f.u. The value obtained for the formation energy is -0.01 eV per atom. Its mass density is 10.630 g/cm3.

=====

No. 24
TiBPO2: optimized geometry, PBE.

Structure (POSCAR):
```
TiBPO2
1.0
-3.172 -0.301 -1.140
-0.525 -2.568 2.141
-1.388 2.871 3.103
P B O Ti
1 1 2 1
direct
0.000 0.000 0.500
0.000 0.000 0.000
0.000 0.500 0.000
0.500 0.000 0.000
0.500 0.500 0.500
```

Its density of states at the Fermi level is 1.98 states/eV/f.u. The distance to the lowest polymorph of the same formula comes out at 68.8 meV/atom. The value obtained for the formation energy without anion corrections is -0.45 eV/atom. Its mass density is 3.965 g/cm3.

=====

No. 25
Ce3PmDy2P6: optimized geometry, PBE.

Structure (POSCAR):
```
Ce3PmDy2P6
1.0
7.049 -0.001 0.000
-3.524 6.105 0.000
-1.176 -2.036 6.632
Ce Pm Dy P
3 1 2 6
direct
0.166 0.834 0.500
0.834 0.166 0.500
0.500 0.500 0.500
0.000 0.000 0.000
0.333 0.667 0.000
0.667 0.333 0.000
0.917 0.579 0.750
0.745 0.745 0.249
0.083 0.421 0.250
0.579 0.917 0.750
0.255 0.255 0.751
0.421 0.083 0.250
```

Its density of states at the Fermi level is 13.32 states/eV/f.u. The value obtained for the formation energy is -1.55 eV per atom. Its mass density is 6.263 g/cm3.